# 1
## TlPtPb2 (GGA-PBE)

Data for a geometry-optimized TlPtPb2 structure.

Computed properties:
ΔE to the lowest computed polymorph in meV/atom: 297.0

a b c (Å): 4.832 4.893 4.310
angles (deg): 90.00 90.00 90.00
Positions (direct):
Pb 0.000 0.000 0.000
Pb 0.500 0.500 0.000
Pt 0.500 0.000 0.500
Tl 0.000 0.500 0.500

# 2
## TlPtPb2 (GGA-PBE)

Data for a geometry-optimized TlPtPb2 structure.

Computed properties:
ΔE to the lowest computed polymorph in meV/atom: 317.6

a b c (Å): 5.241 5.241 5.241
angles (deg): 60.00 60.00 60.00
Positions (direct):
Pb 0.000 0.000 0.000
Pb 0.250 0.250 0.250
Pt 0.500 0.500 0.500
Tl 0.750 0.750 0.750

# 3
## Tl2PtPb4 (GGA-PBE)

Data for a geometry-optimized Tl2PtPb4 structure.

a b c (Å): 3.603 6.696 9.504
angles (deg): 112.60 90.00 90.00
Positions (direct):
Tl 0.500 0.827 0.518
Tl 0.500 0.316 0.482
Pt 0.000 0.071 0.000
Pb 0.500 0.734 0.848
Pb 0.000 0.264 0.786
Pb 0.500 0.409 0.152
Pb 0.000 0.879 0.214

# 4
## TlPtPb2 (GGA-PBE)

Data for a geometry-optimized TlPtPb2 structure.

Computed properties:
ΔE to the lowest computed polymorph in meV/atom: 132.5

a b c (Å): 8.992 8.992 6.969
angles (deg): 49.82 49.82 90.00
Positions (direct):
Pb 0.545 0.125 0.250
Pb 0.205 0.625 0.250
Pb 0.375 0.455 0.750
Pb 0.875 0.795 0.750
Tl 0.000 0.000 0.000
Tl 0.750 0.250 0.500
Pt 0.500 0.500 0.000
Pt 0.250 0.750 0.500

# 5
## TlPtPb2 (GGA-PBE)

Data for a geometry-optimized TlPtPb2 structure.

Computed properties:
ΔE to the lowest computed polymorph in meV/atom: 250.6

a b c (Å): 5.230 5.230 5.230
angles (deg): 60.00 60.00 60.00
Positions (direct):
Pb 0.250 0.250 0.250
Pb 0.750 0.750 0.750
Tl 0.500 0.500 0.500
Pt 0.000 0.000 0.000

# 6
## TlPtPb2 (GGA-PBE)

Data for a geometry-optimized TlPtPb2 structure.

Computed properties:
ΔE to the lowest computed polymorph in meV/atom: 136.3

a b c (Å): 3.676 4.465 6.997
angles (deg): 71.28 90.00 90.00
Positions (direct):
Pb 0.000 0.940 0.993
Pb 0.500 0.271 0.334
Pt 0.000 0.730 0.419
Tl 0.500 0.559 0.754

Values for ΔE_f, eV per atom, ordered as above
0.140; 0.160; -0.010; -0.025; 0.093; -0.021
Values for DOS(E_F), states/eV/cell, ordered as above
3.05; 2.03; 3.90; 4.39; 3.49; 1.78